1.
Density functional theory data (GGA-PBEsol) for a geometry-optimized AgBAs2Se structure.

```
AgBAs2Se
1.0
4.8740 0.0000 0.0000
0.0000 4.8740 0.0000
0.0000 0.0000 5.0702
Ag B As Se
1 1 2 1
Direct
0.0000 0.0000 0.0000
0.5000 0.5000 0.5000
0.0000 0.5000 0.0000
0.5000 0.0000 0.0000
0.0000 0.0000 0.5000
```

Computed properties:
* space group: P4/mmm
* crystal system: tetragonal
* electronic total energy: -3.17 eV/atom
* energy relative to the elements, uncorrected: 1.706 eV/atom


2.
Density functional theory data (GGA-PBEsol) for a geometry-optimized BaAgAs structure.

```
BaAgAs
1.0
4.5724 0.0000 0.0000
-2.2862 3.9598 0.0000
0.0000 0.0000 8.9289
Ba Ag As
2 2 2
Direct
0.0000 0.0000 0.0000
0.0000 0.0000 0.5000
0.3333 0.6667 0.2500
0.6667 0.3333 0.7500
0.3333 0.6667 0.7500
0.6667 0.3333 0.2500
```

Computed properties:
* formation enthalpy at 0 K: -0.7858 eV per atom
* space group: P6_3/mmc
* crystal system: hexagonal
* electronic total energy: -4.31 eV/atom


3.
Density functional theory data (GGA-PBEsol) for a geometry-optimized BaAgAs2 structure.

```
BaAgAs2
1.0
4.6851 0.0000 0.0000
0.0000 6.2006 0.0000
0.0000 0.0000 6.8447
Ba Ag As
2 2 4
Direct
0.0000 0.0000 0.0000
0.5000 0.5000 0.0000
0.0000 0.0000 0.5000
0.5000 0.5000 0.5000
0.0000 0.5000 0.3159
0.0000 0.5000 0.6841
0.5000 0.0000 0.3159
0.5000 0.0000 0.6841
```

Computed properties:
* formation enthalpy at 0 K: -0.2418 eV per atom
* space group: Cmmm
* crystal system: orthorhombic
* electronic total energy: -4.16 eV/atom


4.
Density functional theory data (GGA-PBEsol) for a geometry-optimized Ba2AgAs2 structure.

```
Ba2AgAs2
1.0
3.9983 0.0000 0.0000
0.0000 3.9983 0.0000
0.0000 0.0000 18.9572
Ba Ag As
4 2 4
Direct
0.0000 0.0000 0.1132
0.0000 0.0000 0.8868
0.5000 0.5000 0.3868
0.5000 0.5000 0.6132
0.0000 0.0000 0.5000
0.5000 0.5000 0.0000
0.0000 0.5000 0.2500
0.0000 0.5000 0.7500
0.5000 0.0000 0.2500
0.5000 0.0000 0.7500
```

Computed properties:
* formation enthalpy at 0 K: -0.4070 eV per atom
* space group: I4/mmm
* crystal system: tetragonal
* electronic total energy: -3.97 eV/atom


5.
Density functional theory data (GGA-PBEsol) for a geometry-optimized BaAgAs2 structure.

```
BaAgAs2
1.0
3.7217 0.0000 0.0000
0.0000 5.4531 0.0000
0.0000 0.0000 9.7504
Ba Ag As
2 2 4
Direct
0.0000 0.0000 0.0000
0.5000 0.5000 0.5000
0.0000 0.5000 0.8016
0.5000 0.0000 0.3016
0.0000 0.0000 0.5240
0.0000 0.5000 0.2091
0.5000 0.0000 0.7091
0.5000 0.5000 0.0240
```

Computed properties:
* formation enthalpy at 0 K: -0.2453 eV per atom
* space group: Imm2
* crystal system: orthorhombic
* electronic total energy: -4.16 eV/atom


6.
Density functional theory data (GGA-PBEsol) for a geometry-optimized Ba2Ag2As structure.

```
Ba2Ag2As
1.0
6.2964 0.0000 0.0000
0.0000 6.2964 0.0000
0.0000 0.0000 7.7597
Ba Ag As
4 4 2
Direct
0.0000 0.5000 0.2500
0.0000 0.5000 0.7500
0.5000 0.0000 0.2500
0.5000 0.0000 0.7500
0.0000 0.0000 0.1650
0.0000 0.0000 0.8350
0.5000 0.5000 0.3350
0.5000 0.5000 0.6650
0.0000 0.0000 0.5000
0.5000 0.5000 0.0000
```

Computed properties:
* formation enthalpy at 0 K: -0.2873 eV per atom
* space group: I4/mmm
* crystal system: tetragonal
* energy relative to the lowest polymorph listed for this composition: 0.182 eV/atom
* electronic total energy: -3.49 eV/atom


7.
Density functional theory data (GGA-PBEsol) for a geometry-optimized BaAg2As2 structure.

```
BaAg2As2
1.0
4.4892 0.0000 0.0000
0.0000 4.4892 0.0000
0.0000 0.0000 11.2304
Ba Ag As
2 4 4
Direct
0.0000 0.0000 0.0000
0.5000 0.5000 0.5000
0.0000 0.5000 0.2500
0.0000 0.5000 0.7500
0.5000 0.0000 0.2500
0.5000 0.0000 0.7500
0.0000 0.0000 0.3829
0.0000 0.0000 0.6171
0.5000 0.5000 0.1171
0.5000 0.5000 0.8829
```

Computed properties:
* formation enthalpy at 0 K: -0.4968 eV per atom
* space group: I4/mmm
* crystal system: tetragonal
* electronic total energy: -4.29 eV/atom


8.
Density functional theory data (GGA-PBEsol) for a geometry-optimized BaAgAs structure.

```
BaAgAs
1.0
4.5315 0.0000 0.0000
-2.2658 3.9244 0.0000
0.0000 0.0000 4.5656
Ba Ag As
1 1 1
Direct
0.0000 0.0000 0.0000
0.3333 0.6667 0.5000
0.6667 0.3333 0.5000
```

Computed properties:
* formation enthalpy at 0 K: -0.7660 eV per atom
* space group: P-6m2
* crystal system: hexagonal
* electronic total energy: -4.29 eV/atom


Total magnetization (μB per formula unit)
0.0, 0.0, 0.0, 0.0, 0.0, 0.0, 0.0, 0.0
Volume (Å³/atom)
24.090, 26.944, 24.855, 30.306, 24.736, 30.764, 22.632, 27.064